[1]
The following is a DFT calculation (PBE-GGA) of La6Zn2Ge after structural relaxation.

Unit cell a=9.018 b=9.018 c=9.018 alpha=97.02 beta=113.36 gamma=118.77
Positions (direct):
La  0.499  0.300  0.199
La  0.735  0.407  0.672
La  0.803  0.788  0.591
La  0.197  0.788  0.985
La  0.899  0.700  0.199
La  0.101  0.300  0.801
La  0.197  0.212  0.409
La  0.803  0.212  0.015
La  0.265  0.936  0.672
La  0.265  0.593  0.328
La  0.501  0.700  0.801
La  0.735  0.064  0.328
Ge  0.000  0.500  0.500
Ge  0.000  0.000  0.000
Zn  0.500  0.365  0.865
Zn  0.629  0.000  0.629
Zn  0.371  0.000  0.371
Zn  0.500  0.635  0.135

Crystal system: orthorhombic
Space group: Immm, No. 71
E_form in eV per atom: -0.2655
Total magnetization in μB per cell: 0.000

[2]
The following is a DFT calculation (PBE-GGA) of La2Zn2Ge after structural relaxation.

Unit cell a=4.263 b=6.166 c=10.469 alpha=82.17 beta=78.25 gamma=69.78
Positions (direct):
La  0.294  0.770  0.642
La  0.706  0.230  0.358
La  0.895  0.313  0.896
La  0.105  0.687  0.104
Zn  0.040  0.337  0.583
Zn  0.621  0.874  0.885
Zn  0.379  0.126  0.115
Zn  0.960  0.663  0.417
Ge  0.571  0.175  0.683
Ge  0.429  0.825  0.317

Crystal system: monoclinic
Space group: C2/m, No. 12
Energy above the most stable polymorph in this dataset in meV per atom: 0
E_form in eV per atom: -0.5161
Total magnetization in μB per cell: 0.000

- total magnetization of number 2 (La2Zn2Ge)?
  0.000 μB per cell

- Number 2 is which compound?
  La2Zn2Ge